(1)
First-principles (PBE-GGA) data for crystalline RbTa2Se at its relaxed geometry, as listed in Alexandria.

POSCAR file:
```
RbTa2Se
1.0
-2.696 4.152 -0.066
-3.976 -2.603 -1.387
-5.650 -0.582 8.451
Se Ta Rb
2 4 2
direct
0.250 0.750 0.500 Se
0.500 0.500 0.000 Se
0.875 0.572 0.750 Ta
0.375 0.678 0.750 Ta
0.428 0.625 0.250 Ta
0.322 0.125 0.250 Ta
0.000 0.000 0.000 Rb
0.750 0.250 0.500 Rb
```

Space-group type ... No. 122
DOS at the Fermi energy ... 0.88 states/eV per atom
Theoretical density ... 7459 kg/m3
Uncorrected formation energy ... 0.957 eV/atom
Size of the total moment ... 0.0 μB per cell

(2)
First-principles (PBE-GGA) data for crystalline Rb4TaSe4 at its relaxed geometry, as listed in Alexandria.

POSCAR file:
```
Rb4TaSe4
1.0
7.627 -0.869 -4.413
-4.906 7.371 0.033
-0.578 0.869 8.793
Se Rb Ta
4 4 1
direct
0.342 0.276 0.276 Se
0.000 0.724 0.066 Se
0.658 0.934 0.934 Se
0.000 0.066 0.724 Se
0.500 0.500 0.000 Rb
0.500 0.000 0.500 Rb
0.000 0.688 0.688 Rb
0.000 0.312 0.312 Rb
0.000 0.000 0.000 Ta
```

Space-group type ... No. 121
DOS at the Fermi energy ... 0.45 states/eV per atom
Theoretical density ... 3050 kg/m3
Uncorrected formation energy ... -0.973 eV/atom
Size of the total moment ... 0.0 μB per cell

- theoretical density of number 1 (RbTa2Se)?
  7459 kg/m3